Entry 1:
Computed, not measured: a PBEsol-optimized structure of Al2SiPtRh at the meta-GGA SCAN level of DFT.

Calculated values
total energy: -25.904 eV per atom
formation energy (no corrections): -0.007 eV per atom
Fermi-level density of states: 1.77 states/eV per cell

Cell: 4.3908 4.5774 4.5774 Å, 90.00 90.00 90.00°
Element x y z (fractional)
Si 0.5000 0.0000 0.0000
Rh 0.0000 0.0000 0.0000
Al 0.0000 0.0000 0.5000
Al 0.0000 0.5000 0.0000
Pt 0.5000 0.5000 0.5000


Entry 2:
Computed, not measured: a PBEsol-optimized structure of AlRu2Pt at the meta-GGA SCAN level of DFT.

Calculated values
total energy: -37.090 eV per atom
Fermi-level density of states: 3.01 states/eV per cell
DFT formation energy: -191 meV/atom

Cell: 2.7365 2.7365 8.6964 Å, 80.95 80.95 60.00°
Element x y z (fractional)
Ru 0.2472 0.2472 0.2585
Ru 0.7528 0.7528 0.7415
Al 0.5000 0.5000 0.5000
Pt 0.0000 0.0000 0.0000


Entry 3:
Computed, not measured: a PBEsol-optimized structure of AlRuPt3 at the meta-GGA SCAN level of DFT.

Calculated values
total energy: -49.347 eV per atom
Fermi-level density of states: 4.68 states/eV per cell
DFT formation energy: 1284 meV/atom

Cell: 4.7127 4.7127 4.7127 Å, 90.00 90.00 90.00°
Element x y z (fractional)
Ru 0.0000 0.0000 0.0000
Al 0.5000 0.5000 0.5000
Pt 0.0000 0.5000 0.0000
Pt 0.0000 0.0000 0.5000
Pt 0.5000 0.0000 0.0000


Entry 4:
Computed, not measured: a PBEsol-optimized structure of AlRu2Pt at the meta-GGA SCAN level of DFT.

Calculated values
total energy: -37.267 eV per atom
Fermi-level density of states: 3.35 states/eV per cell
DFT formation energy: -367 meV/atom

Cell: 3.8225 3.8225 4.6413 Å, 114.32 114.32 90.00°
Element x y z (fractional)
Ru 0.7500 0.2500 0.5000
Ru 0.2500 0.7500 0.5000
Al 0.5000 0.5000 0.0000
Pt 0.0000 0.0000 0.0000